Entry 1:
# TmMg2Au PBE-GGA relaxed
data_TmMg2Au
_chemical_formula_sum 'Tm1 Mg2 Au1'
_cell_length_a 4.931
_cell_length_b 4.931
_cell_length_c 4.933
_cell_angle_alpha 60.01
_cell_angle_beta 60.01
_cell_angle_gamma 60.00
_symmetry_space_group_name_H-M 'P 1'
_symmetry_Int_Tables_number 1
loop_
_symmetry_equiv_pos_as_xyz
'x,y,z'
loop_
_atom_site_label
_atom_site_type_symbol
_atom_site_fract_x
_atom_site_fract_y
_atom_site_fract_z
Tm1 Tm 0.500 0.500 0.500
Mg1 Mg 0.000 0.000 0.000
Mg2 Mg 0.250 0.250 0.250
Au1 Au 0.750 0.750 0.751
# Formation enthalpy at 0 K   -1.71 eV/f.u.
# VASP energy   -12.64 eV/cell
# Calculated volume   21.2 A^3/atom

Entry 2:
# TmMgAu2 PBE-GGA relaxed
data_TmMgAu2
_chemical_formula_sum 'Tm1 Mg1 Au2'
_cell_length_a 3.457
_cell_length_b 3.457
_cell_length_c 6.832
_cell_angle_alpha 90.00
_cell_angle_beta 90.00
_cell_angle_gamma 90.00
_symmetry_space_group_name_H-M 'P 1'
_symmetry_Int_Tables_number 1
loop_
_symmetry_equiv_pos_as_xyz
'x,y,z'
loop_
_atom_site_label
_atom_site_type_symbol
_atom_site_fract_x
_atom_site_fract_y
_atom_site_fract_z
Mg1 Mg 0.500 0.500 0.000
Tm1 Tm 0.500 0.500 0.500
Au1 Au 0.000 0.000 0.761
Au2 Au 0.000 0.000 0.239
# Formation enthalpy at 0 K   -3.01 eV/f.u.
# VASP energy   -15.63 eV/cell
# Calculated volume   20.4 A^3/atom

Entry 3:
# Tm4Mg3Au PBE-GGA relaxed
data_Tm4Mg3Au
_chemical_formula_sum 'Tm4 Mg3 Au1'
_cell_length_a 3.686
_cell_length_b 3.686
_cell_length_c 14.836
_cell_angle_alpha 90.00
_cell_angle_beta 90.00
_cell_angle_gamma 90.00
_symmetry_space_group_name_H-M 'P 1'
_symmetry_Int_Tables_number 1
loop_
_symmetry_equiv_pos_as_xyz
'x,y,z'
loop_
_atom_site_label
_atom_site_type_symbol
_atom_site_fract_x
_atom_site_fract_y
_atom_site_fract_z
Mg1 Mg 0.500 0.500 0.244
Mg2 Mg 0.500 0.500 0.500
Mg3 Mg 0.500 0.500 0.756
Tm1 Tm 0.000 0.000 0.887
Tm2 Tm 0.000 0.000 0.113
Tm3 Tm 0.000 0.000 0.370
Tm4 Tm 0.000 0.000 0.630
Au1 Au 0.500 0.500 0.000
# Formation enthalpy at 0 K   -2.15 eV/f.u.
# VASP energy   -28.10 eV/cell
# Calculated volume   25.2 A^3/atom

Entry 4:
# Tm5Mg4Au PBE-GGA relaxed
data_Tm5Mg4Au
_chemical_formula_sum 'Tm5 Mg4 Au1'
_cell_length_a 3.700
_cell_length_b 3.700
_cell_length_c 18.565
_cell_angle_alpha 90.00
_cell_angle_beta 90.00
_cell_angle_gamma 90.00
_symmetry_space_group_name_H-M 'P 1'
_symmetry_Int_Tables_number 1
loop_
_symmetry_equiv_pos_as_xyz
'x,y,z'
loop_
_atom_site_label
_atom_site_type_symbol
_atom_site_fract_x
_atom_site_fract_y
_atom_site_fract_z
Tm1 Tm 0.500 0.500 0.090
Tm2 Tm 0.500 0.500 0.294
Tm3 Tm 0.500 0.500 0.500
Tm4 Tm 0.500 0.500 0.706
Tm5 Tm 0.500 0.500 0.910
Mg1 Mg 0.000 0.000 0.194
Mg2 Mg 0.000 0.000 0.397
Mg3 Mg 0.000 0.000 0.603
Mg4 Mg 0.000 0.000 0.806
Au1 Au 0.000 0.000 0.000
# Formation enthalpy at 0 K   -2.25 eV/f.u.
# VASP energy   -34.27 eV/cell
# Calculated volume   25.4 A^3/atom

Entry 5:
# Tm2MgAu PBE-GGA relaxed
data_Tm2MgAu
_chemical_formula_sum 'Tm2 Mg1 Au1'
_cell_length_a 3.661
_cell_length_b 3.661
_cell_length_c 7.183
_cell_angle_alpha 90.00
_cell_angle_beta 90.00
_cell_angle_gamma 90.00
_symmetry_space_group_name_H-M 'P 1'
_symmetry_Int_Tables_number 1
loop_
_symmetry_equiv_pos_as_xyz
'x,y,z'
loop_
_atom_site_label
_atom_site_type_symbol
_atom_site_fract_x
_atom_site_fract_y
_atom_site_fract_z
Mg1 Mg 0.500 0.500 0.500
Tm1 Tm 0.000 0.000 0.766
Tm2 Tm 0.000 0.000 0.234
Au1 Au 0.500 0.500 0.000
# Formation enthalpy at 0 K   -1.91 eV/f.u.
# VASP energy   -15.72 eV/cell
# E above lowest polymorph   0.0000 eV per atom
# Calculated volume   24.1 A^3/atom

Entry 6:
# TmMgAu4 PBE-GGA relaxed
data_TmMgAu4
_chemical_formula_sum 'Tm1 Mg1 Au4'
_cell_length_a 5.077
_cell_length_b 3.636
_cell_length_c 7.197
_cell_angle_alpha 90.00
_cell_angle_beta 90.01
_cell_angle_gamma 69.10
_symmetry_space_group_name_H-M 'P 1'
_symmetry_Int_Tables_number 1
loop_
_symmetry_equiv_pos_as_xyz
'x,y,z'
loop_
_atom_site_label
_atom_site_type_symbol
_atom_site_fract_x
_atom_site_fract_y
_atom_site_fract_z
Tm1 Tm 0.123 0.812 0.998
Mg1 Mg 0.383 0.681 0.498
Au1 Au 0.536 0.104 0.200
Au2 Au 0.535 0.104 0.797
Au3 Au 0.965 0.391 0.691
Au4 Au 0.965 0.391 0.305
# Formation enthalpy at 0 K   -3.68 eV/f.u.
# VASP energy   -22.85 eV/cell
# E above lowest polymorph   0.0520 eV per atom
# Calculated volume   20.7 A^3/atom